No. 1
Tm6TcHg2 | PBE | optimized geometry

Summary:
total magnetic moment = 0.00 μB/f.u.
formation energy from the elements = -102 meV/atom
D(E_F) = 10.5 states/eV per cell

Lattice parameters (Å, degrees): 5.011 7.004 8.475 114.41 107.19 90.00
Fractional coordinates of all 9 atoms:
Tm 0.500 0.232 0.000
Tm 0.843 0.599 0.685
Hg 0.334 0.333 0.667
Tm 0.157 0.401 0.315
Tm 0.843 0.085 0.685
Hg 0.666 0.667 0.333
Tm 0.157 0.915 0.315
Tm 0.500 0.768 0.000
Tc 0.000 0.000 0.000

***

No. 2
YTmTcHg | PBE | optimized geometry

Summary:
total magnetic moment = 0.00 μB/f.u.
formation energy from the elements = -169 meV/atom
D(E_F) = 2.8 states/eV per cell

Lattice parameters (Å, degrees): 5.011 5.011 5.011 60.00 60.00 60.00
Fractional coordinates of all 4 atoms:
Hg 0.000 0.000 0.000
Tm 0.250 0.250 0.250
Y 0.750 0.750 0.750
Tc 0.500 0.500 0.500

***

No. 3
UTc2Hg | PBE | optimized geometry

Summary:
total magnetic moment = 0.00 μB/f.u.
formation energy from the elements = 82 meV/atom
D(E_F) = 3.1 states/eV per cell

Lattice parameters (Å, degrees): 3.667 4.399 4.399 90.00 90.00 90.00
Fractional coordinates of all 4 atoms:
Tc 0.000 0.000 0.500
U 0.500 0.500 0.500
Hg 0.500 0.000 0.000
Tc 0.000 0.500 0.000

***

No. 4
UTcHg | PBE | optimized geometry

Summary:
total magnetic moment = 1.03 μB/f.u.
formation energy from the elements = 105 meV/atom
D(E_F) = 9.0 states/eV per cell

Lattice parameters (Å, degrees): 5.879 5.879 4.825 77.74 77.74 51.99
Site moments in Bohr magnetons follow the coordinates.
Fractional coordinates of all 6 atoms:
Hg 0.801 0.801 0.439  0.00
U 0.255 0.255 0.969  1.16
Tc 0.192 0.192 0.467  -0.24
Hg 0.952 0.952 0.868  0.00
U 0.499 0.499 0.338  1.16
Tc 0.561 0.561 0.840  -0.24

***

No. 5
U2TcHg | PBE | optimized geometry

Summary:
total magnetic moment = 2.60 μB/f.u.
formation energy from the elements = 106 meV/atom
D(E_F) = 9.3 states/eV per cell

Lattice parameters (Å, degrees): 3.092 3.092 8.785 90.00 90.00 90.00
Site moments in Bohr magnetons follow the coordinates.
Fractional coordinates of all 4 atoms:
Hg 0.500 0.500 0.500  -0.01
U 0.000 0.000 0.787  1.36
Tc 0.500 0.500 0.000  -0.28
U 0.000 0.000 0.213  1.36

***

No. 6
V2TcHg | PBE | optimized geometry

Summary:
total magnetic moment = 0.00 μB/f.u.
formation energy from the elements = 87 meV/atom
D(E_F) = 4.3 states/eV per cell

Lattice parameters (Å, degrees): 3.087 3.087 6.564 90.00 90.00 90.00
Fractional coordinates of all 4 atoms:
V 0.000 0.000 0.212
V 0.000 0.000 0.788
Hg 0.500 0.500 0.500
Tc 0.500 0.500 0.000

***

No. 7
V3TcHg | PBE | optimized geometry

Summary:
total magnetic moment = 0.00 μB/f.u.
formation energy from the elements = 995 meV/atom
energy relative to the lowest polymorph listed for this composition = 0 meV/atom
D(E_F) = 5.0 states/eV per cell

Lattice parameters (Å, degrees): 4.556 4.556 4.556 90.00 90.00 90.00
Fractional coordinates of all 5 atoms:
V 0.000 0.500 0.000
V 0.000 0.000 0.500
Hg 0.500 0.500 0.500
Tc 0.000 0.000 0.000
V 0.500 0.000 0.000

***

No. 8
V2TcHg | PBE | optimized geometry

Summary:
total magnetic moment = 0.02 μB/f.u.
formation energy from the elements = 604 meV/atom
D(E_F) = 10.2 states/eV per cell

Lattice parameters (Å, degrees): 7.046 7.046 5.683 51.69 51.69 90.00
Fractional coordinates of all 8 atoms:
Tc 0.500 0.500 0.000
V 0.167 0.625 0.250
Hg 0.750 0.250 0.500
V 0.375 0.417 0.750
Hg 0.000 0.000 0.000
V 0.875 0.833 0.750
Tc 0.250 0.750 0.500
V 0.583 0.125 0.250

***

No. 9
V3TcHg | PBE | optimized geometry

Summary:
total magnetic moment = 5.65 μB/f.u.
formation energy from the elements = 2080 meV/atom
energy relative to the lowest polymorph listed for this composition = 1085 meV/atom
D(E_F) = 9.3 states/eV per cell

Lattice parameters (Å, degrees): 4.908 4.908 4.908 90.00 90.00 90.00
Site moments in Bohr magnetons follow the coordinates.
Fractional coordinates of all 5 atoms:
V 0.000 0.500 0.000  2.40
V 0.500 0.000 0.000  2.40
Tc 0.500 0.500 0.500  -2.88
Hg 0.000 0.000 0.000  0.16
V 0.000 0.000 0.500  2.40

***

No. 10
VTcHg3 | PBE | optimized geometry

Summary:
total magnetic moment = 2.56 μB/f.u.
formation energy from the elements = 1217 meV/atom
energy relative to the lowest polymorph listed for this composition = 0 meV/atom
D(E_F) = 3.9 states/eV per cell

Lattice parameters (Å, degrees): 5.219 5.219 5.219 90.00 90.00 90.00
Site moments in Bohr magnetons follow the coordinates.
Fractional coordinates of all 5 atoms:
Hg 0.000 0.000 0.500  0.00
Hg 0.000 0.500 0.000  0.00
Tc 0.000 0.000 0.000  -1.44
V 0.500 0.500 0.500  3.17
Hg 0.500 0.000 0.000  0.00

***

No. 11
VTcHg | PBE | optimized geometry

Summary:
total magnetic moment = 0.27 μB/f.u.
formation energy from the elements = 435 meV/atom
D(E_F) = 13.5 states/eV per cell

Lattice parameters (Å, degrees): 5.480 5.383 8.088 90.00 90.00 120.60
Site moments in Bohr magnetons follow the coordinates.
Fractional coordinates of all 12 atoms:
V 0.145 0.790 0.750  0.26
Hg 0.845 0.690 0.446  0.00
Tc 0.419 0.839 0.384  -0.03
Hg 0.345 0.690 0.054  0.00
Tc 0.919 0.839 0.116  -0.03
V 0.645 0.790 0.750  0.26
Tc 0.081 0.161 0.884  -0.03
Hg 0.155 0.310 0.554  0.00
Hg 0.655 0.310 0.946  0.00
V 0.355 0.210 0.250  0.26
V 0.855 0.210 0.250  0.26
Tc 0.581 0.161 0.616  -0.03

***

No. 12
VZnTc2Hg | PBE | optimized geometry

Summary:
total magnetic moment = 1.82 μB/f.u.
formation energy from the elements = 1212 meV/atom
D(E_F) = 4.7 states/eV per cell

Lattice parameters (Å, degrees): 4.469 5.104 4.469 90.00 90.00 90.00
Site moments in Bohr magnetons follow the coordinates.
Fractional coordinates of all 5 atoms:
Hg 0.000 0.500 0.000  -0.01
Zn 0.500 0.500 0.500  -0.03
V 0.000 0.000 0.000  -0.61
Tc 0.500 0.000 0.000  1.15
Tc 0.000 0.000 0.500  1.14

***

Look up the formation energy from the elements of the second one.
-169 meV/atom